Below is a geometry-optimized HoCd12Hg7 structure, with properties calculated at the PBE level.

a = 7.9252 Å, b = 7.9252 Å, c = 7.9252 Å
α = 98.62°, β = 98.62°, γ = 98.62°
Last column: nearest neighbours and their distance in Å.
Element x y z (fractional)
Ho 0.0000 0.0000 0.0000  6 Hg 3.18, 6 Cd 3.27
Cd 0.0000 0.2725 0.7275  4 Hg 3.06-3.24, 6 Cd 3.10-3.27, 1 Ho 3.27
Cd 0.0000 0.7275 0.2725  4 Hg 3.06-3.24, 6 Cd 3.10-3.27, 1 Ho 3.27
Cd 0.1689 0.6031 0.6031  7 Cd 3.01-3.16, 1 Hg 3.05
Cd 0.2725 0.0000 0.7275  4 Hg 3.06-3.24, 6 Cd 3.10-3.27, 1 Ho 3.27
Cd 0.2725 0.7275 0.0000  4 Hg 3.06-3.24, 6 Cd 3.10-3.27, 1 Ho 3.27
Cd 0.3969 0.3969 0.8311  7 Cd 3.01-3.16, 1 Hg 3.05
Cd 0.3969 0.8311 0.3969  7 Cd 3.01-3.16, 1 Hg 3.05
Cd 0.6031 0.1689 0.6031  7 Cd 3.01-3.16, 1 Hg 3.05
Cd 0.6031 0.6031 0.1689  7 Cd 3.01-3.16, 1 Hg 3.05
Cd 0.7275 0.0000 0.2725  4 Hg 3.06-3.24, 6 Cd 3.10-3.27, 1 Ho 3.27
Cd 0.7275 0.2725 0.0000  4 Hg 3.06-3.24, 6 Cd 3.10-3.27, 1 Ho 3.27
Cd 0.8311 0.3969 0.3969  7 Cd 3.01-3.16, 1 Hg 3.05
Hg 0.1389 0.1389 0.4017  6 Cd 3.06-3.41, 2 Hg 3.16, 1 Ho 3.18
Hg 0.1389 0.4017 0.1389  6 Cd 3.06-3.41, 2 Hg 3.16, 1 Ho 3.18
Hg 0.4017 0.1389 0.1389  6 Cd 3.06-3.41, 2 Hg 3.16, 1 Ho 3.18
Hg 0.5000 0.5000 0.5000  6 Cd 3.05
Hg 0.5983 0.8611 0.8611  6 Cd 3.06-3.41, 2 Hg 3.16, 1 Ho 3.18
Hg 0.8611 0.5983 0.8611  6 Cd 3.06-3.41, 2 Hg 3.16, 1 Ho 3.18
Hg 0.8611 0.8611 0.5983  6 Cd 3.06-3.41, 2 Hg 3.16, 1 Ho 3.18

Its space group is No. 166. For the total energy, the calculation gives -0.926 eV per atom. For the formation enthalpy at 0 K, the calculation gives -43 meV/atom. For the energy above the most stable polymorph in this dataset, the calculation gives 0 meV/atom.